Th4Ir2SeS PBE optimized geometry; V = 212.1 Å³/f.u.; uncorrected formation energy = -1.33 eV/atom; space group = No. 10
1.0
-2.1008 3.2458 -1.4344
-5.5114 -4.6395 -2.4263
-4.7394 -0.7433 5.2591
Th Ir Se S
4 2 1 1
direct
0.0000 0.7779 0.7391
0.0000 0.2221 0.2609
0.5000 0.7756 0.2456
0.5000 0.2244 0.7544
0.0000 0.0000 0.0000
0.5000 0.0000 0.5000
0.5000 0.5000 0.0000
0.0000 0.5000 0.5000

=====

SrRuAu3 PBE optimized geometry; V = 177.1 Å³/f.u.; DFT formation energy = 1438 meV per atom; space group = No. 221; distance to the lowest polymorph of the same formula = 1304 meV/atom
1.0
-2.1575 -3.4315 3.8864
0.4366 -4.3148 -3.5673
5.1661 -1.0684 1.9246
Ru Au Sr
1 3 1
direct
0.5000 0.5000 0.5000
0.0000 0.5000 0.0000
0.0000 0.0000 0.5000
0.5000 0.0000 0.0000
0.0000 0.0000 0.0000

=====

AcPmNdHg PBE optimized geometry; V = 129.5 Å³/f.u.; DFT formation energy = -7 meV per atom; space group = No. 216; distance to the lowest polymorph of the same formula = 218 meV/atom
1.0
-0.8852 5.4001 -1.5184
-5.0656 1.5888 -2.0164
-3.3908 3.3102 3.1297
Ac Nd Hg Pm
1 1 1 1
direct
0.5000 0.5000 0.5000
0.7500 0.7500 0.7500
0.0000 0.0000 0.0000
0.2500 0.2500 0.2500

=====

SrCu2BiAu PBE optimized geometry; V = 135.1 Å³/f.u.; DFT formation energy = 71 meV per atom; space group = No. 123
1.0
-2.9091 2.7081 2.9224
-4.4822 -2.2423 -2.3840
0.0175 -3.6098 3.3625
Sr Au Bi Cu
1 1 1 2
direct
0.5000 0.5000 0.5000
0.0000 0.0000 0.0000
0.0000 0.5000 0.0000
0.0000 0.0000 0.5000
0.5000 0.0000 0.0000